# ZrBr2

A geometry-optimized ZrBr2 structure (PBE, the Open Quantum Materials Database).

Computed properties:
E   -5.239 eV per atom
Total moment   0.0 μB per cell

Cell: 3.561 3.561 7.604 Å, 90.00 90.00 120.00°
Sites, in units of the cell vectors:
Zr1 0.000 0.000 0.000
Br1 0.333 0.667 0.241
Br2 0.333 0.667 0.759